(1)
Pm3Mg7Ni4 | PBE | optimized geometry

E_form = -182.7 meV/atom

Unit cell a=16.298 b=4.008 c=10.584 alpha=90.00 beta=122.82 gamma=90.00
Space group C2/m (No. 12)
Unique sites:
1 Pm 0.000 0.000 0.000 (multiplicity 2)
2 Pm 0.198 0.500 0.714 (multiplicity 4)
3 Mg 0.000 0.000 0.500 (multiplicity 2)
4 Mg 0.011 0.500 0.287 (multiplicity 4)
5 Mg 0.169 0.000 0.431 (multiplicity 4)
6 Mg 0.178 0.500 0.008 (multiplicity 4)
7 Ni 0.116 0.000 0.811 (multiplicity 4)
8 Ni 0.159 0.500 0.249 (multiplicity 4)


(2)
PmMgNi2 | PBE | optimized geometry

E_form = -251.7 meV/atom

Unit cell a=3.940 b=3.841 c=9.938 alpha=90.00 beta=90.00 gamma=90.00
Space group Amm2 (No. 38)
Unique sites:
1 Pm 0.000 0.000 0.000 (multiplicity 2)
2 Mg 0.500 0.000 0.288 (multiplicity 2)
3 Ni 0.000 0.000 0.720 (multiplicity 2)
4 Ni 0.500 0.000 0.584 (multiplicity 2)